## Na2AlNiO4 (PBE with a Hubbard U)

Data for an optimized crystal structure of Na2AlNiO4.

a = 5.2141 Å, b = 2.8743 Å, c = 5.6641 Å
α = 90.00°, β = 109.52°, γ = 90.00°
With the nearest neighbours (Å) after each atom.
Element x y z (fractional)
Na  0.0000  0.0000  0.0000  6 O 2.31-2.36
Na  0.5000  0.5000  0.0000  6 O 2.35-2.47
Al  0.0000  0.5000  0.5000  6 O 1.93-2.01
Ni  0.5000  0.0000  0.5000  4 O 1.94
O  0.2102  0.0000  0.7005  2 Al 1.93
O  0.2691  0.5000  0.3162  2 Ni 1.94, 1 Al 2.01
O  0.7309  0.5000  0.6838  2 Ni 1.94, 1 Al 2.01
O  0.7898  0.0000  0.2995  2 Al 1.93

Results
DOS(E_F)   0.26 states/eV per cell
Space group   P2/m
Uncorrected energy   -5.41 eV/atom
M_tot   1.00 μB/f.u.